*one*
AcGdNO: optimized geometry, PBE.

**Total magnetic moment**: 0.145 μB per atom

Lattice parameters (Å, degrees): 7.0140 8.6099 5.2419 90.00 90.00 90.00
Fractional coordinates of all 16 atoms:
Ac 0.0579 0.1308 0.0000
Ac 0.4421 0.1308 0.5000
Ac 0.5579 0.8692 0.0000
Ac 0.9421 0.8692 0.5000
Gd 0.0878 0.6153 0.9998
Gd 0.4122 0.6153 0.4998
Gd 0.5878 0.3847 0.9998
Gd 0.9122 0.3847 0.4998
N 0.0825 0.6097 0.5013
N 0.4175 0.6097 0.0013
N 0.5825 0.3903 0.5013
N 0.9175 0.3903 0.0013
O 0.0891 0.1578 0.4997
O 0.4109 0.1578 0.9997
O 0.5891 0.8422 0.4997
O 0.9109 0.8422 0.9997

*two*
AcGdNO: optimized geometry, PBE.

**Total magnetic moment**: 0.162 μB per atom

Lattice parameters (Å, degrees): 4.1435 7.5222 5.1607 90.00 90.00 90.00
Fractional coordinates of all 8 atoms:
Ac 0.0000 0.1632 0.0000
Ac 0.0000 0.8368 0.5000
Gd 0.5000 0.3458 0.4999
Gd 0.5000 0.6542 0.9999
N 0.5000 0.3523 0.9985
N 0.5000 0.6477 0.4985
O 0.0000 0.2127 0.5003
O 0.0000 0.7873 0.0003

*three*
AcGdNO: optimized geometry, PBE.

**Total magnetic moment**: 0.075 μB per atom

Lattice parameters (Å, degrees): 7.0737 8.1161 5.9409 90.00 90.00 90.00
Fractional coordinates of all 16 atoms:
Ac 0.0730 0.1256 0.0000
Ac 0.4270 0.1256 0.5000
Ac 0.5730 0.8744 0.0000
Ac 0.9270 0.8744 0.5000
Gd 0.0947 0.6235 0.9651
Gd 0.4053 0.6235 0.4651
Gd 0.5947 0.3765 0.9651
Gd 0.9053 0.3765 0.4651
N 0.0815 0.1523 0.4431
N 0.4185 0.1523 0.9431
N 0.5815 0.8477 0.4431
N 0.9185 0.8477 0.9431
O 0.0947 0.5806 0.5903
O 0.4053 0.5806 0.0903
O 0.5947 0.4194 0.5903
O 0.9053 0.4194 0.0903

Relative energies, in meV/atom, with the most stable structure set to zero: *one* 10; *two* 0; *three* 82.